K2MgPbCl6 | GGA-PBE | relaxed

a b c (Å): 7.2686 7.5752 12.6830
angles (deg): 90.00 124.53 90.00
With the nearest neighbours (Å) after each atom.
Fractional positions:
K1 0.2261 0.0684 0.2480  6 Cl 3.16-3.40
K2 0.2261 0.4316 0.7480  6 Cl 3.16-3.40
K3 0.7739 0.5684 0.2520  6 Cl 3.16-3.40
K4 0.7739 0.9316 0.7520  6 Cl 3.16-3.40
Mg1 0.0000 0.0000 0.5000  6 Cl 2.54-2.56
Mg2 0.0000 0.5000 0.0000  6 Cl 2.54-2.56
Pb1 0.5000 0.0000 0.0000  6 Cl 2.90-2.91
Pb2 0.5000 0.5000 0.5000  6 Cl 2.90-2.91
Cl1 0.1270 0.2184 0.9468  1 Mg 2.56
Cl2 0.1270 0.2816 0.4468  1 Mg 2.56
Cl3 0.2334 0.6851 0.9501  1 Mg 2.54
Cl4 0.2334 0.8149 0.4501  1 Mg 2.54
Cl5 0.3311 0.0271 0.7314  1 Mg 2.54
Cl6 0.3311 0.4729 0.2314  1 Mg 2.54
Cl7 0.6689 0.5271 0.7686  1 Mg 2.54
Cl8 0.6689 0.9729 0.2686  1 Mg 2.54
Cl9 0.7666 0.1851 0.5499  1 Mg 2.54
Cl10 0.7666 0.3149 0.0499  1 Mg 2.54
Cl11 0.8730 0.7184 0.5532  1 Mg 2.56
Cl12 0.8730 0.7816 0.0532  1 Mg 2.56

Calculated values
The value obtained for the final energy is -71.0 eV per cell.